Compound: CaTcPb2
Source: the Alexandria database
Functional: GGA-PBE
Structure: relaxed Values from VASP.

The structure in Quantum ESPRESSO input format:
```
&SYSTEM
  ibrav = 0, nat = 4, ntyp = 3
/
ATOMIC_SPECIES
Ca 40.08 Ca.upf
Tc 98.00 Tc.upf
Pb 207.20 Pb.upf
CELL_PARAMETERS angstrom
3.263 -4.367 0.000
3.263 4.367 0.000
-0.406 0.000 3.397
ATOMIC_POSITIONS crystal
Ca 0.000 0.000 0.000
Tc 0.500 0.500 0.000
Pb 0.000 0.500 0.500
Pb 0.500 0.000 0.500
```

Output
* E above lowest polymorph: 0.273 eV per atom
* ΔH_f (0 K): 396 meV per atom